Computed, not measured: crystalline Hf5Be2N2 at its relaxed geometry at the PBE level of DFT.

Values from the calculation:
magnetization: 0.00 μB per formula unit
E_tot: -318.5 eV/cell
uncorrected formation energy: -640 meV/atom
crystal system: orthorhombic

Structure (CIF):
```
data_Hf5Be2N2
_space_group_name_H-M_alt 'I m a 2'
_space_group_IT_number 46
_space_group_name_Hall 'I 2 -2a'
_cell_length_a 15.291
_cell_length_b 6.546
_cell_length_c 5.791
_cell_angle_alpha 90.00
_cell_angle_beta 90.00
_cell_angle_gamma 90.00
loop_
_atom_site_label
_atom_site_type_symbol
_atom_site_fract_x
_atom_site_fract_y
_atom_site_fract_z
Hf1 Hf 0.024 0.249 0.000
Hf2 Hf 0.143 0.585 0.763
Hf3 Hf 0.250 0.110 0.794
Be1 Be 0.094 0.543 0.238
N1 N 0.000 0.000 0.250
N2 N 0.250 0.091 0.156
```